The following is a DFT calculation (PBE) of KU2PN5 after structural relaxation.

Cell lengths 6.629, 6.629, 7.089 Å; angles 117.87, 117.87, 90.00 degrees
Positions (direct):
N1 0.000 0.000 0.000
N2 0.487 0.725 0.713
N3 0.275 0.775 0.287
N4 0.500 0.500 0.000
N5 0.225 0.987 0.713
N6 0.013 0.513 0.287
N7 0.987 0.487 0.713
N8 0.775 0.013 0.287
N9 0.513 0.275 0.287
N10 0.725 0.225 0.713
K1 0.750 0.750 0.500
K2 0.250 0.250 0.500
U1 0.307 0.807 0.000
U2 0.693 0.193 0.000
U3 0.193 0.307 0.000
U4 0.807 0.693 0.000
P1 0.250 0.750 0.500
P2 0.750 0.250 0.500

Computed properties:
size of the total moment: 0.33 μB/atom
E_form (uncorrected): -0.85 eV per atom
D(E_F): 15.36 states/eV/cell

The following is a DFT calculation (PBE) of Tb6Pm4Nd after structural relaxation.

Cell lengths 7.743, 7.743, 8.537 Å; angles 116.97, 116.97, 90.00 degrees
Positions (direct):
Tb1 0.931 0.441 0.372
Tb2 0.559 0.559 0.628
Tb3 0.500 0.000 0.000
Tb4 0.000 0.500 0.000
Tb5 0.441 0.931 0.372
Tb6 0.069 0.069 0.628
Pm1 0.904 0.904 0.152
Pm2 0.248 0.248 0.152
Pm3 0.096 0.752 0.848
Pm4 0.752 0.096 0.848
Nd1 0.500 0.500 0.000

Computed properties:
size of the total moment: 0.00 μB/atom
excess energy over the best structure of this formula in the dataset: 119 meV/atom
DFT formation energy: 450.9 kJ/mol of formula units
D(E_F): 15.20 states/eV/cell

The following is a DFT calculation (PBE) of Th3SiAs2Rh9 after structural relaxation.

Cell lengths 6.529, 6.529, 8.107 Å; angles 90.00, 90.00, 120.00 degrees
Positions (direct):
As1 0.333 0.667 0.202
As2 0.667 0.333 0.798
Rh1 0.500 0.500 0.000
Rh2 0.860 0.721 0.716
Rh3 0.279 0.140 0.716
Rh4 0.140 0.860 0.284
Rh5 0.000 0.500 0.000
Rh6 0.500 0.000 0.000
Rh7 0.721 0.860 0.284
Rh8 0.860 0.140 0.716
Rh9 0.140 0.279 0.284
Th1 0.000 0.000 0.000
Th2 0.667 0.333 0.293
Th3 0.333 0.667 0.707
Si1 0.000 0.000 0.500

Computed properties:
size of the total moment: 0.00 μB/atom
E_form (uncorrected): -0.58 eV per atom
D(E_F): 10.68 states/eV/cell

The following is a DFT calculation (PBE) of CsAsAu2S after structural relaxation.

Cell lengths 5.082, 5.258, 5.082 Å; angles 90.00, 90.00, 90.00 degrees
Positions (direct):
Au1 0.000 0.000 0.500
Au2 0.500 0.000 0.000
Cs1 0.500 0.500 0.500
S1 0.000 0.500 0.000
As1 0.000 0.000 0.000

Computed properties:
size of the total moment: 0.00 μB/atom
E_form (uncorrected): -0.12 eV per atom
D(E_F): 2.41 states/eV/cell

The following is a DFT calculation (PBE) of Ho3Sb after structural relaxation.

Cell lengths 6.083, 9.283, 9.283 Å; angles 83.84, 70.88, 70.88 degrees
Positions (direct):
Ho1 0.487 0.676 0.392
Ho2 0.534 0.041 0.391
Ho3 0.121 0.392 0.324
Ho4 0.821 0.811 0.028
Ho5 0.837 0.608 0.676
Ho6 0.967 0.959 0.609
Ho7 0.425 0.609 0.041
Ho8 0.660 0.189 0.972
Ho9 0.555 0.324 0.608
Ho10 0.075 0.391 0.959
Ho11 0.151 0.028 0.189
Ho12 0.367 0.972 0.811
Sb1 0.979 0.744 0.347
Sb2 0.674 0.347 0.256
Sb3 0.277 0.653 0.744
Sb4 0.070 0.256 0.653

Computed properties:
size of the total moment: 0.00 μB/atom
excess energy over the best structure of this formula in the dataset: 19 meV/atom
E_form (uncorrected): -0.55 eV per atom
D(E_F): 21.78 states/eV/cell

The following is a DFT calculation (PBE) of Tm3Al3Zn after structural relaxation.

Cell lengths 4.419, 5.780, 13.512 Å; angles 83.78, 80.59, 67.53 degrees
Positions (direct):
Al1 0.965 0.837 0.234
Al2 0.132 0.281 0.455
Al3 0.112 0.851 0.926
Al4 0.868 0.719 0.545
Al5 0.888 0.149 0.074
Al6 0.035 0.163 0.766
Tm1 0.537 0.307 0.618
Tm2 0.600 0.719 0.080
Tm3 0.463 0.693 0.382
Tm4 0.400 0.281 0.920
Tm5 0.742 0.738 0.779
Tm6 0.258 0.262 0.221
Zn1 0.247 0.898 0.608
Zn2 0.753 0.102 0.392

Computed properties:
size of the total moment: 0.00 μB/atom
DFT formation energy: -272.0 kJ/mol of formula units
D(E_F): 9.36 states/eV/cell

The following is a DFT calculation (PBE) of Tb2Y3Co2 after structural relaxation.

Cell lengths 3.648, 6.304, 8.922 Å; angles 114.60, 90.00, 106.82 degrees
Positions (direct):
Y1 0.617 0.235 0.425
Y2 0.383 0.765 0.575
Y3 0.500 0.000 0.000
Tb1 0.173 0.347 0.805
Tb2 0.827 0.653 0.195
Co1 0.820 0.640 0.759
Co2 0.180 0.360 0.241

Computed properties:
size of the total moment: 0.00 μB/atom
DFT formation energy: -98.6 kJ/mol of formula units
D(E_F): 7.79 states/eV/cell

The following is a DFT calculation (PBE) of LiLaW2 after structural relaxation.

Cell lengths 5.819, 5.819, 2.745 Å; angles 90.00, 90.00, 123.56 degrees
Positions (direct):
La1 0.500 0.000 0.500
Li1 0.000 0.500 0.500
W1 0.500 0.500 0.000
W2 0.000 0.000 0.000

Computed properties:
size of the total moment: 0.00 μB/atom
excess energy over the best structure of this formula in the dataset: 378 meV/atom
DFT formation energy: 319.2 kJ/mol of formula units
D(E_F): 4.20 states/eV/cell

The following is a DFT calculation (PBE) of LaTl2Ni after structural relaxation.

Cell lengths 5.642, 5.642, 5.642 Å; angles 136.43, 122.18, 75.10 degrees
Positions (direct):
Tl1 0.756 0.256 0.500
Tl2 0.040 0.040 0.000
La1 0.460 0.460 0.000
Ni1 0.244 0.744 0.500

Computed properties:
size of the total moment: 0.00 μB/atom
DFT formation energy: -21.1 kJ/mol of formula units
D(E_F): 1.71 states/eV/cell

The following is a DFT calculation (PBE) of POsAu after structural relaxation.

Cell lengths 3.849, 3.849, 3.812 Å; angles 90.00, 90.00, 120.00 degrees
Positions (direct):
P1 0.333 0.667 0.562
Os1 0.667 0.333 0.454
Au1 0.000 0.000 0.984

Computed properties:
size of the total moment: 0.00 μB/atom
excess energy over the best structure of this formula in the dataset: 0 meV/atom
DFT formation energy: 44.6 kJ/mol of formula units
D(E_F): 0.65 states/eV/cell

The following is a DFT calculation (PBE) of K2HfOs3O12 after structural relaxation.

Cell lengths 7.386, 7.386, 7.386 Å; angles 58.94, 58.94, 58.94 degrees
Positions (direct):
O1 0.308 0.928 0.308
O2 0.664 0.072 0.072
O3 0.692 0.692 0.072
O4 0.928 0.336 0.928
O5 0.072 0.664 0.072
O6 0.308 0.308 0.928
O7 0.336 0.928 0.928
O8 0.928 0.928 0.336
O9 0.072 0.692 0.692
O10 0.072 0.072 0.664
O11 0.928 0.308 0.308
O12 0.692 0.072 0.692
Hf1 0.000 0.000 0.000
Os1 0.000 0.000 0.500
Os2 0.000 0.500 0.000
Os3 0.500 0.000 0.000
K1 0.370 0.370 0.370
K2 0.630 0.630 0.630

Computed properties:
size of the total moment: 0.16 μB/atom
E_form (uncorrected): -1.55 eV per atom
D(E_F): 7.21 states/eV/cell

The following is a DFT calculation (PBE) of Rb2SmHF6 after structural relaxation.

Cell lengths 6.137, 6.125, 7.142 Å; angles 54.49, 54.44, 69.26 degrees
Positions (direct):
F1 0.220 0.219 0.562
F2 0.219 0.219 0.001
F3 0.666 0.333 0.000
F4 0.780 0.781 0.438
F5 0.334 0.667 0.000
F6 0.781 0.781 0.999
Rb1 0.750 0.249 0.501
Rb2 0.250 0.751 0.499
H1 0.500 0.500 0.000
Sm1 0.000 0.000 0.000

Computed properties:
size of the total moment: 0.01 μB/atom
E_tot: -51.1 eV per formula unit
D(E_F): 0.00 states/eV/cell

Among the records above, which one has the lowest D(E_F)? Rb2SmHF6

What is the size of the total moment in the eleventh record? 0.16 μB/atom

Which formula does entry 11 have? K2HfOs3O12